A plane-wave DFT calculation with PBE with a Hubbard U was carried out for an optimized crystal structure of SrCrP2O6.

Calculated values
- space group = No. 148
- total magnetization (Bohr magnetons per cell) = 3.98
- VASP energy (eV/atom) = -6.9995

Cell lengths 6.8700, 6.8700, 6.8700 Å; angles 43.02, 43.02, 43.02 degrees
Sites, in units of the cell vectors:
Sr 0.0000 0.0000 0.0000
Cr 0.5000 0.5000 0.5000
P 0.2558 0.2558 0.2558
P 0.7442 0.7442 0.7442
O 0.0824 0.4887 0.7361
O 0.2639 0.9176 0.5113
O 0.4887 0.7361 0.0824
O 0.5113 0.2639 0.9176
O 0.7361 0.0824 0.4887
O 0.9176 0.5113 0.2639